No. 1
An optimized crystal structure of CeMnP2Ir, computed with PBE.

It has space group I-4m2 (No. 119), with a = 3.997 Å, b = 3.997 Å, c = 9.822 Å, α = 90.00°, β = 90.00° and γ = 90.00°. Symmetry generates all atoms from Ce at (0.000, 0.000, 0.000), Mn at (0.000, 0.500, 0.250), P at (0.000, 0.000, 0.371) and Ir at (0.000, 0.500, 0.750).

For the density of states at the Fermi level, the calculation gives 0.84 states/eV per atom. The value obtained for the total magnetization is 0.010 μB per atom. The total energy comes out at -7.892 eV per atom.

***

No. 2
An optimized crystal structure of CePuMnIr, computed with PBE.

It has space group F-43m (No. 216), with a = 6.879 Å, b = 6.879 Å, c = 6.879 Å, α = 90.00°, β = 90.00° and γ = 90.00°. Symmetry generates all atoms from Ce at (0.000, 0.000, 0.000), Pu at (0.000, 0.000, 0.500), Mn at (0.250, 0.250, 0.750) and Ir at (0.250, 0.250, 0.250).

For the density of states at the Fermi level, the calculation gives 1.95 states/eV per atom. The value obtained for the total magnetization is 0.797 μB per atom. The total energy comes out at -9.798 eV per atom.

***

No. 3
An optimized crystal structure of CeScMnIr, computed with PBE.

It has space group F-43m (No. 216), with a = 6.716 Å, b = 6.716 Å, c = 6.716 Å, α = 90.00°, β = 90.00° and γ = 90.00°. Symmetry generates all atoms from Ce at (0.000, 0.000, 0.000), Sc at (0.000, 0.000, 0.500), Mn at (0.250, 0.250, 0.750) and Ir at (0.250, 0.250, 0.250).

For the density of states at the Fermi level, the calculation gives 1.20 states/eV per atom. The value obtained for the total magnetization is 0.417 μB per atom. The total energy comes out at -7.900 eV per atom.